A relaxed structure of FePdAu. Source: Alexandria via LeMat-Bulk, functional PBE.

Values from the calculation:
* energy above the lowest structure with this stoichiometry: 0.17 eV per formula unit
* energy relative to the elements: 0.04 eV/atom
* magnetic moment: 3.39 μB/f.u.
* DFT total energy: -0.2060 Ha/atom

Cell: 4.3911 4.3911 2.7875 Å, 90.00 90.00 120.00°
Last column: nearest neighbours and their distance in Å.
Atoms (fractional coordinates):
1 Fe 0.0000 0.0000 0.0000  3 Pd 2.54, 2 Fe 2.79
2 Pd 0.3333 0.6667 0.0000  3 Fe 2.54, 2 Pd 2.79
3 Au 0.6667 0.3333 0.5000  2 Au 2.79, 6 Fe 2.89, 6 Pd 2.89